First-principles (PBE) data for a relaxed structure of TlH3F6, as listed in Alexandria via LeMat-Bulk.

Values from the calculation:
Its crystal system is trigonal. As for the density of states at the Fermi level: 0.00 states/eV/f.u. The total moment is 0.00 μB per atom. The electronic total energy is -39.86 eV for the cell shown. As for the space group: R3m, No. 160.

Structure (POSCAR):
```
TlH3F6
1.0
5.503 3.177 1.136
-5.503 3.177 1.136
0.000 -6.354 1.136
Tl H F
1 3 6
Direct
0.000 0.000 0.000
0.258 0.258 0.724
0.258 0.724 0.258
0.724 0.258 0.258
0.078 0.078 0.681
0.078 0.681 0.078
0.418 0.418 0.657
0.418 0.657 0.418
0.657 0.418 0.418
0.681 0.078 0.078
```